No. 1
RbPuFeS3 | PBE | optimized geometry

abc: 3.9871 9.0927 9.4287
angles: 109.81 90.00 90.00
Last column: magnetic moment on the atom in μB.
Element x y z (fractional)
S  0.2500  0.5347  0.8519  0.14
Pu  0.2500  0.6733  0.1583  -4.79
S  0.7500  0.8761  0.1537  0.15
Rb  0.2500  0.2054  0.2354  0.00
Fe  0.2500  0.0790  0.5914  3.11
Pu  0.7500  0.3267  0.8417  -4.79
S  0.7500  0.4653  0.1481  0.14
Rb  0.7500  0.7946  0.7646  0.00
S  0.2500  0.1239  0.8463  0.15
S  0.2500  0.8069  0.4669  0.17
S  0.7500  0.1931  0.5331  0.17
Fe  0.7500  0.9210  0.4086  3.11

## Properties
Size of the total moment (μB/cell): 2.00
Formation energy (no corrections) (meV per atom): -1192
Space-group type: P2_1/m, No. 11
D(E_F) (states/eV per cell): 18.2

=====

No. 2
Rb3Pu2FeS6 | PBE | optimized geometry

abc: 6.7763 6.7763 7.9735
angles: 98.20 98.20 120.02
Last column: magnetic moment on the atom in μB.
Element x y z (fractional)
S  0.0601  0.3608  0.1800  0.09
Fe  0.0000  0.0000  0.0000  0.57
S  0.9399  0.6392  0.8200  0.09
Pu  0.3337  0.6663  0.0000  -4.94
S  0.6392  0.9399  0.8200  0.09
Rb  0.1712  0.8288  0.5000  0.00
S  0.7604  0.7604  0.1820  0.09
S  0.2396  0.2396  0.8180  0.09
S  0.3608  0.0601  0.1800  0.09
Rb  0.5000  0.5000  0.5000  0.00
Pu  0.6663  0.3337  0.0000  -4.94
Rb  0.8288  0.1712  0.5000  0.00

## Properties
Size of the total moment (μB/cell): 9.01
Formation energy (no corrections) (meV per atom): -1135
Space-group type: C2/m, No. 12
D(E_F) (states/eV per cell): 18.9

=====

No. 3
Rb4Pu3FeS8 | PBE | optimized geometry

abc: 8.0634 8.9603 8.1505
angles: 117.27 119.65 90.00
Last column: magnetic moment on the atom in μB.
Element x y z (fractional)
S  0.7319  0.6933  0.4638  -0.04
S  0.2207  0.6832  0.9640  0.06
Pu  0.5000  0.5000  0.5000  4.90
Rb  0.0000  0.0000  0.0000  0.01
Fe  0.0000  0.5000  0.0000  3.47
Rb  0.0000  0.0000  0.5000  0.00
S  0.2681  0.3067  0.5362  -0.04
Rb  0.5000  0.0000  0.0000  0.01
S  0.2245  0.6848  0.4490  -0.05
S  0.7793  0.3168  0.0360  0.06
S  0.7433  0.6832  0.9640  0.06
Pu  0.0000  0.5000  0.5000  4.90
Rb  0.5000  0.0000  0.5000  0.00
S  0.7755  0.3152  0.5510  -0.05
S  0.2567  0.3168  0.0360  0.06
Pu  0.5000  0.5000  0.0000  -4.84

## Properties
Size of the total moment (μB/cell): 8.88
Formation energy (no corrections) (meV per atom): -1253
Space-group type: C2/m, No. 12
D(E_F) (states/eV per cell): 34.3

=====

No. 4
Rb3Pu2FeSe6 | PBE | optimized geometry

abc: 7.2493 7.2493 8.2962
angles: 98.45 98.45 119.93
Last column: magnetic moment on the atom in μB.
Element x y z (fractional)
Pu  0.3339  0.6661  0.0000  5.00
Se  0.7442  0.7442  0.1895  -0.06
Se  0.6215  0.9379  0.8134  -0.05
Se  0.0621  0.3785  0.1866  -0.05
Pu  0.6661  0.3339  0.0000  5.00
Rb  0.5000  0.5000  0.5000  0.00
Rb  0.8314  0.1686  0.5000  0.00
Se  0.9379  0.6215  0.8134  -0.05
Fe  0.0000  0.0000  0.0000  3.38
Se  0.3785  0.0621  0.1866  -0.05
Se  0.2558  0.2558  0.8105  -0.06
Rb  0.1686  0.8314  0.5000  0.00

## Properties
Size of the total moment (μB/cell): 13.42
Formation energy (no corrections) (meV per atom): -1084
Space-group type: C2/m, No. 12
D(E_F) (states/eV per cell): 24.2